VASP calculation (PBE-GGA) on a relaxed structure of Pr12Au3N5.

The structure belongs to space group Ia-3d (No. 230); the cell edges are 16.158, 16.158 and 16.158 Å and the angles 90.00°, 90.00° and 90.00°. The distinct sites, in fractional coordinates, are Pr at (0.035, 0.052, 0.649), Au at (0.000, 0.250, 0.125), N at (0.000, 0.000, 0.000) and N at (0.000, 0.250, 0.375).

For the density of states at the Fermi level, the calculation gives 154.7 states/eV per cell. The raw formation energy comes out at -0.770 eV per atom.

=====

VASP calculation (PBE-GGA) on a relaxed structure of Pr4AuN.

The structure belongs to space group Pmmn (No. 59, origin choice 2); the cell edges are 5.264, 9.558 and 7.077 Å and the angles 90.00°, 90.00° and 90.00°. The distinct sites, in fractional coordinates, are Pr at (0.250, 0.046, 0.202), Pr at (0.250, 0.250, 0.716), Pr at (0.250, 0.750, 0.613), Au at (0.250, 0.750, 0.036) and N at (0.250, 0.250, 0.387).

For the density of states at the Fermi level, the calculation gives 13.0 states/eV per cell. The raw formation energy comes out at -0.592 eV per atom.

=====

VASP calculation (PBE-GGA) on a relaxed structure of Pr2ZnAuN.

The structure belongs to space group P2_1/m (No. 11); the cell edges are 7.270, 3.939 and 8.062 Å and the angles 90.00°, 107.89° and 90.00°. The distinct sites, in fractional coordinates, are Pr at (0.184, 0.250, 0.395), Pr at (0.192, 0.250, 0.955), Zn at (0.447, 0.750, 0.251), Au at (0.311, 0.750, 0.704) and N at (0.152, 0.750, 0.170).

For the density of states at the Fermi level, the calculation gives 5.2 states/eV per cell. The raw formation energy comes out at -0.759 eV per atom.